Entry from Alexandria: an optimized crystal structure of K3BiTe3 (PBE).

a = 10.532 Å, b = 10.532 Å, c = 10.532 Å
α = 90.00°, β = 90.00°, γ = 90.00°
Fractional positions:
K: 0.077 0.077 0.077
K: 0.175 0.325 0.675
K: 0.183 0.683 0.817
K: 0.317 0.317 0.317
K: 0.325 0.675 0.175
K: 0.423 0.923 0.577
K: 0.577 0.423 0.923
K: 0.675 0.175 0.325
K: 0.683 0.817 0.183
K: 0.817 0.183 0.683
K: 0.825 0.825 0.825
K: 0.923 0.577 0.423
Bi: 0.034 0.966 0.466
Bi: 0.466 0.034 0.966
Bi: 0.534 0.534 0.534
Bi: 0.966 0.466 0.034
Te: 0.000 0.229 0.384
Te: 0.000 0.729 0.116
Te: 0.116 0.000 0.729
Te: 0.229 0.384 0.000
Te: 0.271 0.616 0.500
Te: 0.384 0.000 0.229
Te: 0.500 0.271 0.616
Te: 0.500 0.771 0.884
Te: 0.616 0.500 0.271
Te: 0.729 0.116 0.000
Te: 0.771 0.884 0.500
Te: 0.884 0.500 0.771

**Relative energy among the computed polymorphs**: 0.0 meV/atom
**Energy relative to the elements, uncorrected**: -797 meV/atom

Entry from Alexandria: an optimized crystal structure of Ta2AsPt (PBE).

a = 5.245 Å, b = 5.245 Å, c = 5.245 Å
α = 136.36°, β = 136.36°, γ = 63.42°
Fractional positions:
Ta: 0.000 0.000 0.000
Ta: 0.750 0.250 0.500
As: 0.250 0.750 0.500
Pt: 0.500 0.500 0.000

**Energy of formation from the pure elements**: -0.7 eV/f.u.

Entry from Alexandria: an optimized crystal structure of Zr4GeTe5 (PBE).

a = 9.014 Å, b = 9.014 Å, c = 8.199 Å
α = 101.27°, β = 101.27°, γ = 25.22°
Fractional positions:
Zr: 0.000 0.000 0.228
Zr: 0.000 0.000 0.772
Zr: 0.344 0.344 0.930
Zr: 0.656 0.656 0.070
Ge: 0.500 0.500 0.000
Te: 0.166 0.166 0.335
Te: 0.171 0.171 0.811
Te: 0.500 0.500 0.500
Te: 0.829 0.829 0.189
Te: 0.834 0.834 0.665

**Energy relative to the elements, uncorrected**: -855 meV/atom

Uncorrected energy: -3.169; -8.776; -6.306 (eV per atom)